(1)
DFT (PBE) results for a relaxed LiTcTe2N crystal.

Output
spin magnetization	0.4484	μB per atom
ΔE_f (raw)	105.28	kJ per mole of atoms

The structure in CIF format:
```
data_LiTcTe2N
_space_group_name_H-M_alt 'P 4/m m m'
_space_group_IT_number 123
_space_group_name_Hall '-P 4 2'
_cell_length_a 5.0544
_cell_length_b 5.0544
_cell_length_c 3.4280
_cell_angle_alpha 90.00
_cell_angle_beta 90.00
_cell_angle_gamma 90.00
loop_
_atom_site_label
_atom_site_type_symbol
_atom_site_fract_x
_atom_site_fract_y
_atom_site_fract_z
Li1 Li 0.0000 0.0000 0.0000
Tc1 Tc 0.5000 0.5000 0.5000
Te1 Te 0.0000 0.5000 0.0000
N1 N 0.0000 0.0000 0.5000
```

---

(2)
DFT (PBE) results for a relaxed Li3Th2TcN6 crystal.

Output
spin magnetization	0.0000	μB per atom
ΔE_f (raw)	-62.58	kJ per mole of atoms

The structure in CIF format:
```
data_Li3Th2TcN6
_space_group_name_H-M_alt 'C 1 2/m 1'
_space_group_IT_number 12
_cell_length_a 5.8191
_cell_length_b 10.5740
_cell_length_c 5.3000
_cell_angle_alpha 90.00
_cell_angle_beta 107.51
_cell_angle_gamma 90.00
loop_
_space_group_symop_operation_xyz
'x,y,z'
'-x,-y,-z'
'-x,y,-z'
'x,-y,z'
'x+1/2,y+1/2,z'
'-x+1/2,-y+1/2,-z'
'-x+1/2,y+1/2,-z'
'x+1/2,-y+1/2,z'
loop_
_atom_site_label
_atom_site_type_symbol
_atom_site_fract_x
_atom_site_fract_y
_atom_site_fract_z
Li1 Li 0.0000 0.0000 0.0000
Li2 Li 0.0000 0.3850 0.0000
Th1 Th 0.0000 0.1677 0.5000
Tc1 Tc 0.0000 0.5000 0.5000
N1 N 0.2066 0.3595 0.7196
N2 N 0.2456 0.5000 0.2796
```

---

(3)
DFT (PBE) results for a relaxed LiThTc2N4 crystal.

Output
spin magnetization	0.0000	μB per atom
ΔE_f (raw)	-37.61	kJ per mole of atoms

The structure in CIF format:
```
data_LiThTc2N4
_space_group_name_H-M_alt 'I -4 2 m'
_space_group_IT_number 121
_space_group_name_Hall 'I -4 2'
_cell_length_a 4.8765
_cell_length_b 4.8765
_cell_length_c 9.5423
_cell_angle_alpha 90.00
_cell_angle_beta 90.00
_cell_angle_gamma 90.00
loop_
_atom_site_label
_atom_site_type_symbol
_atom_site_fract_x
_atom_site_fract_y
_atom_site_fract_z
Li1 Li 0.0000 0.0000 0.0000
Th1 Th 0.0000 0.0000 0.5000
Tc1 Tc 0.0000 0.5000 0.2500
N1 N 0.2340 0.2340 0.8462
```

---

(4)
DFT (PBE) results for a relaxed LiTiTcN3 crystal.

Output
spin magnetization	0.0000	μB per atom
ΔE_f (raw)	-57.34	kJ per mole of atoms

The structure in CIF format:
```
data_LiTiTcN3
_space_group_name_H-M_alt 'P 1 21/m 1'
_space_group_IT_number 11
_cell_length_a 6.2231
_cell_length_b 2.9963
_cell_length_c 8.8093
_cell_angle_alpha 90.00
_cell_angle_beta 92.60
_cell_angle_gamma 90.00
loop_
_space_group_symop_operation_xyz
'x,y,z'
'-x,-y,-z'
'-x,y+1/2,-z'
'x,-y+1/2,z'
loop_
_atom_site_label
_atom_site_type_symbol
_atom_site_fract_x
_atom_site_fract_y
_atom_site_fract_z
Li1 Li 0.1879 0.2500 0.2516
Ti1 Ti 0.1444 0.2500 0.5942
Tc1 Tc 0.4173 0.7500 0.8965
N1 N 0.1541 0.7500 0.4360
N2 N 0.1926 0.7500 0.7515
N3 N 0.3630 0.7500 0.1240
```

---

(5)
DFT (PBE) results for a relaxed Li4U3TcN8 crystal.

Output
spin magnetization	0.0587	μB per atom
ΔE_f (raw)	-84.65	kJ per mole of atoms

The structure in CIF format:
```
data_Li4U3TcN8
_space_group_name_H-M_alt 'R -3 m'
_space_group_IT_number 166
_space_group_name_Hall '-R 3 2"'
_cell_length_a 6.6823
_cell_length_b 6.6823
_cell_length_c 15.2866
_cell_angle_alpha 90.00
_cell_angle_beta 90.00
_cell_angle_gamma 120.00
loop_
_atom_site_label
_atom_site_type_symbol
_atom_site_fract_x
_atom_site_fract_y
_atom_site_fract_z
Li1 Li 0.0000 0.0000 0.0000
Li2 Li 0.0000 0.5000 0.0000
U1 U 0.0000 0.5000 0.5000
Tc1 Tc 0.0000 0.0000 0.5000
N1 N 0.0000 0.0000 0.2385
N2 N 0.0047 0.5024 0.7627
```

---

(6)
DFT (PBE) results for a relaxed Li2UTcN4 crystal.

Output
spin magnetization	0.2051	μB per atom
ΔE_f (raw)	-33.75	kJ per mole of atoms

The structure in CIF format:
```
data_Li2UTcN4
_space_group_name_H-M_alt 'C m c m'
_space_group_IT_number 63
_space_group_name_Hall '-C 2c 2'
_cell_length_a 3.1942
_cell_length_b 12.1910
_cell_length_c 9.3989
_cell_angle_alpha 90.00
_cell_angle_beta 90.00
_cell_angle_gamma 90.00
loop_
_atom_site_label
_atom_site_type_symbol
_atom_site_fract_x
_atom_site_fract_y
_atom_site_fract_z
Li1 Li 0.0000 0.0928 0.0385
U1 U 0.0000 0.4564 0.2500
Tc1 Tc 0.0000 0.2845 0.7500
N1 N 0.0000 0.0983 0.2500
N2 N 0.0000 0.1893 0.6117
N3 N 0.0000 0.5000 0.0000
```

---

(7)
DFT (PBE) results for a relaxed Li3U3TcN8 crystal.

Output
spin magnetization	0.1271	μB per atom
ΔE_f (raw)	-79.31	kJ per mole of atoms

The structure in CIF format:
```
data_Li3U3TcN8
_space_group_name_H-M_alt 'R -3 m'
_space_group_IT_number 166
_space_group_name_Hall '-R 3 2"'
_cell_length_a 6.7227
_cell_length_b 6.7227
_cell_length_c 15.0242
_cell_angle_alpha 90.00
_cell_angle_beta 90.00
_cell_angle_gamma 120.00
loop_
_atom_site_label
_atom_site_type_symbol
_atom_site_fract_x
_atom_site_fract_y
_atom_site_fract_z
Li1 Li 0.0000 0.5000 0.0000
U1 U 0.0000 0.5000 0.5000
Tc1 Tc 0.0000 0.0000 0.5000
N1 N 0.0000 0.0000 0.2390
N2 N 0.0040 0.5020 0.2336
```

---

(8)
DFT (PBE) results for a relaxed LiVTc2N4 crystal.

Output
spin magnetization	0.0000	μB per atom
ΔE_f (raw)	-26.43	kJ per mole of atoms

The structure in CIF format:
```
data_LiVTc2N4
_space_group_name_H-M_alt 'P m n 21'
_space_group_IT_number 31
_cell_length_a 6.0423
_cell_length_b 5.5991
_cell_length_c 5.5121
_cell_angle_alpha 90.00
_cell_angle_beta 90.00
_cell_angle_gamma 90.00
loop_
_space_group_symop_operation_xyz
'x,y,z'
'-x+1/2,-y,z+1/2'
'-x,y,z'
'x+1/2,-y,z+1/2'
loop_
_atom_site_label
_atom_site_type_symbol
_atom_site_fract_x
_atom_site_fract_y
_atom_site_fract_z
Li1 Li 0.0000 0.1279 0.0000
V1 V 0.0000 0.7980 0.4767
Tc1 Tc 0.2456 0.3466 0.4910
N1 N 0.0000 0.1350 0.3989
N2 N 0.0000 0.7971 0.8135
N3 N 0.2427 0.3327 0.8396
```

---

(9)
DFT (PBE) results for a relaxed LiVTc2N crystal.

Output
spin magnetization	0.0000	μB per atom
ΔE_f (raw)	213.29	kJ per mole of atoms

The structure in CIF format:
```
data_LiVTc2N
_space_group_name_H-M_alt 'P 4/m m m'
_space_group_IT_number 123
_space_group_name_Hall '-P 4 2'
_cell_length_a 4.3668
_cell_length_b 4.3668
_cell_length_c 4.4458
_cell_angle_alpha 90.00
_cell_angle_beta 90.00
_cell_angle_gamma 90.00
loop_
_atom_site_label
_atom_site_type_symbol
_atom_site_fract_x
_atom_site_fract_y
_atom_site_fract_z
Li1 Li 0.0000 0.0000 0.0000
V1 V 0.0000 0.0000 0.5000
Tc1 Tc 0.0000 0.5000 0.5000
N1 N 0.5000 0.5000 0.0000
```

---

(10)
DFT (PBE) results for a relaxed LiTcW2N crystal.

Output
spin magnetization	0.0000	μB per atom
ΔE_f (raw)	139.11	kJ per mole of atoms

The structure in CIF format:
```
data_LiTcW2N
_space_group_name_H-M_alt 'P 4/m m m'
_space_group_IT_number 123
_space_group_name_Hall '-P 4 2'
_cell_length_a 4.5183
_cell_length_b 4.5183
_cell_length_c 3.1571
_cell_angle_alpha 90.00
_cell_angle_beta 90.00
_cell_angle_gamma 90.00
loop_
_atom_site_label
_atom_site_type_symbol
_atom_site_fract_x
_atom_site_fract_y
_atom_site_fract_z
Li1 Li 0.0000 0.0000 0.0000
Tc1 Tc 0.5000 0.5000 0.5000
W1 W 0.0000 0.5000 0.0000
N1 N 0.0000 0.0000 0.5000
```

---

(11)
DFT (PBE) results for a relaxed Li3Tc2WN6 crystal.

Output
spin magnetization	0.0000	μB per atom
ΔE_f (raw)	-31.40	kJ per mole of atoms

The structure in CIF format:
```
data_Li3Tc2WN6
_space_group_name_H-M_alt 'C 1 2/m 1'
_space_group_IT_number 12
_cell_length_a 5.0982
_cell_length_b 8.8077
_cell_length_c 5.4792
_cell_angle_alpha 90.00
_cell_angle_beta 107.56
_cell_angle_gamma 90.00
loop_
_space_group_symop_operation_xyz
'x,y,z'
'-x,-y,-z'
'-x,y,-z'
'x,-y,z'
'x+1/2,y+1/2,z'
'-x+1/2,-y+1/2,-z'
'-x+1/2,y+1/2,-z'
'x+1/2,-y+1/2,z'
loop_
_atom_site_label
_atom_site_type_symbol
_atom_site_fract_x
_atom_site_fract_y
_atom_site_fract_z
Li1 Li 0.0000 0.0000 0.0000
Li2 Li 0.0000 0.3278 0.0000
Tc1 Tc 0.0000 0.1447 0.5000
W1 W 0.0000 0.5000 0.5000
N1 N 0.2414 0.3345 0.7200
N2 N 0.2466 0.5000 0.2496
```

---

(12)
DFT (PBE) results for a relaxed LiTc2WN4 crystal.

Output
spin magnetization	0.0000	μB per atom
ΔE_f (raw)	-9.75	kJ per mole of atoms

The structure in CIF format:
```
data_LiTc2WN4
_space_group_name_H-M_alt 'P m n 21'
_space_group_IT_number 31
_cell_length_a 6.1364
_cell_length_b 5.6265
_cell_length_c 5.6069
_cell_angle_alpha 90.00
_cell_angle_beta 90.00
_cell_angle_gamma 90.00
loop_
_space_group_symop_operation_xyz
'x,y,z'
'-x+1/2,-y,z+1/2'
'-x,y,z'
'x+1/2,-y,z+1/2'
loop_
_atom_site_label
_atom_site_type_symbol
_atom_site_fract_x
_atom_site_fract_y
_atom_site_fract_z
Li1 Li 0.0000 0.1250 0.0000
Tc1 Tc 0.2436 0.3416 0.4911
W1 W 0.0000 0.7806 0.4671
N1 N 0.0000 0.1313 0.3980
N2 N 0.0000 0.7948 0.8087
N3 N 0.2254 0.3363 0.8377
```